[1]
# NaCa2HgPd (GGA-PBE, optimized geometry)
# Crystal system: tetragonal
# N(E_F) (states/eV/cell): 1.5
# Energy of formation from the pure elements (eV per atom): -0.299
# SG: P4/mmm (123)
data_NaCa2HgPd
_space_group_name_H-M_alt 'P 1'
_space_group_IT_number 1
_space_group_name_Hall 'P 1'
_cell_length_a 5.537
_cell_length_b 5.537
_cell_length_c 5.345
_cell_angle_alpha 90.00
_cell_angle_beta 90.00
_cell_angle_gamma 90.00
loop_
_atom_site_label
_atom_site_fract_x
_atom_site_fract_y
_atom_site_fract_z
Na1 0.000 0.000 0.000
Ca1 0.000 0.500 0.500
Ca2 0.500 0.000 0.500
Hg1 0.500 0.500 0.000
Pd1 0.500 0.500 0.500

---

[2]
# BeBiHPb (GGA-PBE, optimized geometry)
# Crystal system: triclinic
# Polymorph energy (0 for the lowest one) (meV per atom): 199
# N(E_F) (states/eV/cell): 1.1
# SG: P1 (1)
data_BeBiHPb
_space_group_name_H-M_alt 'P 1'
_space_group_IT_number 1
_space_group_name_Hall 'P 1'
_cell_length_a 3.371
_cell_length_b 4.425
_cell_length_c 6.694
_cell_angle_alpha 70.76
_cell_angle_beta 76.44
_cell_angle_gamma 68.08
loop_
_atom_site_label
_atom_site_fract_x
_atom_site_fract_y
_atom_site_fract_z
Be1 0.000 0.000 0.000
Bi1 0.395 0.592 0.734
H1 0.018 0.095 0.767
Pb1 0.251 0.315 0.231

---

| no. | total moment (μB per formula unit) |
| --- | --- |
| 1 | 0.0 |
| 2 | 0.0 |